Entry from Alexandria: a geometry-optimized CoAgPbF6 structure (PBE+U).

a = 5.2538 Å, b = 5.2538 Å, c = 10.3082 Å
α = 90.00°, β = 90.00°, γ = 90.00°
Fractional coordinates of all 18 atoms:
Co1 0.0000 0.0000 0.0000
Co2 0.5000 0.5000 0.5000
Ag1 0.0000 0.0000 0.6594
Ag2 0.5000 0.5000 0.1594
Pb1 0.0000 0.0000 0.3405
Pb2 0.5000 0.5000 0.8405
F1 0.1723 0.1723 0.8660
F2 0.1746 0.1746 0.1328
F3 0.2473 0.2473 0.4997
F4 0.2527 0.7473 0.9997
F5 0.3253 0.6746 0.6328
F6 0.3277 0.6723 0.3660
F7 0.6723 0.3277 0.3660
F8 0.6746 0.3253 0.6328
F9 0.7473 0.2527 0.9997
F10 0.7527 0.7527 0.4997
F11 0.8254 0.8254 0.1328
F12 0.8277 0.8277 0.8660

Properties
Space-group type = No. 102
Energy = -4.371 eV per atom
Calculated volume = 15.81 Å³/atom